Entry from Alexandria via LeMat-Bulk: an optimized crystal structure of MgBe2Te (PBE).

For the density of states at the Fermi level, the calculation gives 1.943 states/eV per cell. The energy relative to the elements, uncorrected comes out at 329 meV per atom. As for the magnetic moment: 0.000 μB/atom. The value obtained for the total energy is -21.75 eV/cell.

Unit cell a=3.5163 b=3.6584 c=11.3714 alpha=90.00 beta=90.00 gamma=90.00
Closest atoms and distances in Å follow each position.
Sites, in units of the cell vectors:
Mg: 0.0000 0.0000 0.0000  6 Be 2.76-2.89
Mg: 0.5000 0.5000 0.5000  6 Be 2.76-2.89
Be: 0.0000 0.0000 0.4037  2 Be 2.18
Be: 0.0000 0.5000 0.2988  2 Be 2.18
Be: 0.5000 0.0000 0.7988  2 Be 2.18
Be: 0.5000 0.5000 0.9037  2 Be 2.18
Te: 0.0000 0.5000 0.7314  6 Be 2.63-2.65
Te: 0.5000 0.0000 0.2314  6 Be 2.63-2.65

Entry from Alexandria via LeMat-Bulk: an optimized crystal structure of BaGa3Pt2 (PBE).

For the density of states at the Fermi level, the calculation gives 7.328 states/eV per cell. As for the formation energy: -479.5 meV/atom. As for the magnetic moment: 0.000 μB/atom. The value obtained for the total energy is -51.92 eV/cell.

Unit cell a=7.3255 b=7.3255 c=7.3255 alpha=70.44 beta=70.44 gamma=70.44
Closest atoms and distances in Å follow each position.
Sites, in units of the cell vectors:
Ba: 0.2061 0.2061 0.2061  4 Pt 3.21-3.38
Ba: 0.7939 0.7939 0.7939  4 Pt 3.21-3.38
Ga: 0.2173 0.2173 0.6977  3 Pt 2.50-2.64
Ga: 0.2173 0.6977 0.2173  3 Pt 2.50-2.64
Ga: 0.3023 0.7827 0.7827  3 Pt 2.50-2.64
Ga: 0.6977 0.2173 0.2173  3 Pt 2.50-2.64
Ga: 0.7827 0.3023 0.7827  3 Pt 2.50-2.64
Ga: 0.7827 0.7827 0.3023  3 Pt 2.50-2.64
Pt: 0.0000 0.0000 0.0000  6 Ga 2.64
Pt: 0.0000 0.5000 0.5000  4 Ga 2.50
Pt: 0.5000 0.0000 0.5000  4 Ga 2.50
Pt: 0.5000 0.5000 0.0000  4 Ga 2.50

Entry from Alexandria via LeMat-Bulk: an optimized crystal structure of Cs2TiB2Se6 (PBE).

For the density of states at the Fermi level, the calculation gives 2.849 states/eV per cell. The energy relative to the elements, uncorrected comes out at -599 meV per atom. As for the magnetic moment: 0.014 μB/atom. The value obtained for the total energy is -50.46 eV/cell.

Unit cell a=6.9419 b=6.9419 c=8.5903 alpha=111.18 beta=111.18 gamma=59.57
Closest atoms and distances in Å follow each position.
Sites, in units of the cell vectors:
Cs: 0.2087 0.2087 0.1555  8 Se 3.60-3.95
Cs: 0.7913 0.7913 0.8445  8 Se 3.60-3.95
Ti: 0.0000 0.0000 0.5000  6 Se 2.61-2.62
B: 0.4038 0.4038 0.6741  3 Se 1.96-1.98
B: 0.5962 0.5962 0.3259  3 Se 1.96-1.98
Se: 0.2382 0.2382 0.6626  1 B 1.96
Se: 0.2575 0.7398 0.2783  1 B 1.98
Se: 0.2602 0.7425 0.7217  1 B 1.98
Se: 0.7398 0.2575 0.2783  1 B 1.98
Se: 0.7425 0.2602 0.7217  1 B 1.98
Se: 0.7618 0.7618 0.3374  1 B 1.96

Entry from Alexandria via LeMat-Bulk: an optimized crystal structure of Tm4GeTe2P (PBE).

For the density of states at the Fermi level, the calculation gives 1.877 states/eV per cell. The energy relative to the elements, uncorrected comes out at -1328 meV per atom. As for the magnetic moment: 0.000 μB/atom. The value obtained for the total energy is -44.82 eV/cell.

Unit cell a=7.1553 b=4.1325 c=7.3511 alpha=90.00 beta=108.88 gamma=90.00
Closest atoms and distances in Å follow each position.
Sites, in units of the cell vectors:
Tm: 0.2360 0.0000 0.2128  2 P 2.80, 1 Ge 2.82, 3 Te 3.10-3.12
Tm: 0.2601 0.5000 0.7840  1 P 2.81, 2 Ge 2.82, 3 Te 3.09-3.10
Tm: 0.7399 0.5000 0.2160  1 P 2.81, 2 Ge 2.82, 3 Te 3.09-3.10
Tm: 0.7640 0.0000 0.7872  2 P 2.80, 1 Ge 2.82, 3 Te 3.10-3.12
Ge: 0.5000 0.0000 0.0000  6 Tm 2.82
Te: 0.0000 0.0000 0.5000  6 Tm 3.09-3.10
Te: 0.5000 0.5000 0.5000  6 Tm 3.10-3.12
P: 0.0000 0.5000 0.0000  6 Tm 2.80-2.81

Entry from Alexandria via LeMat-Bulk: an optimized crystal structure of Ca3Cl (PBE).

For the density of states at the Fermi level, the calculation gives 8.627 states/eV per cell. The energy relative to the elements, uncorrected comes out at -480 meV per atom. As for the magnetic moment: 0.001 μB/atom. The value obtained for the total energy is -19.54 eV/cell.

Unit cell a=6.1917 b=7.2289 c=7.3069 alpha=90.00 beta=90.00 gamma=90.00
Closest atoms and distances in Å follow each position.
Sites, in units of the cell vectors:
Ca: 0.2500 0.0031 0.1255  1 Cl 2.81
Ca: 0.2500 0.2500 0.6296  2 Cl 3.11
Ca: 0.2500 0.4969 0.1255  1 Cl 2.81
Ca: 0.7500 0.5031 0.8745  1 Cl 2.81
Ca: 0.7500 0.7500 0.3704  2 Cl 3.11
Ca: 0.7500 0.9969 0.8745  1 Cl 2.81
Cl: 0.2500 0.7500 0.4171  4 Ca 2.81-3.11
Cl: 0.7500 0.2500 0.5829  4 Ca 2.81-3.11

Entry from Alexandria via LeMat-Bulk: an optimized crystal structure of BaCuPb2 (PBE).

For the density of states at the Fermi level, the calculation gives 4.194 states/eV per cell. As for the formation energy: -159.7 meV/atom. As for the magnetic moment: 0.000 μB/atom. The value obtained for the total energy is -28.15 eV/cell.

Unit cell a=9.4989 b=4.5218 c=6.5238 alpha=90.00 beta=112.91 gamma=90.00
Closest atoms and distances in Å follow each position.
Sites, in units of the cell vectors:
Ba: 0.0000 0.0000 0.0000  7 Pb 3.50-3.89, 3 Cu 3.61-3.63
Ba: 0.5000 0.5000 0.0000  7 Pb 3.50-3.89, 3 Cu 3.61-3.63
Cu: 0.2546 0.0000 0.5828  5 Pb 2.84-3.02
Cu: 0.7546 0.5000 0.5828  5 Pb 2.84-3.02
Pb: 0.0793 0.5000 0.6086  3 Cu 2.85-3.02, 1 Pb 3.15
Pb: 0.3014 0.5000 0.3537  2 Cu 2.84, 1 Pb 3.15
Pb: 0.5793 0.0000 0.6086  3 Cu 2.85-3.02, 1 Pb 3.15
Pb: 0.8014 0.0000 0.3537  2 Cu 2.84, 1 Pb 3.15

Entry from Alexandria via LeMat-Bulk: an optimized crystal structure of Cd2NiP2 (PBE).

For the density of states at the Fermi level, the calculation gives 4.464 states/eV per cell. As for the formation energy: 231.2 meV/atom. As for the magnetic moment: 0.000 μB/atom. The value obtained for the total energy is -34.55 eV/cell.

Unit cell a=3.2403 b=3.2403 c=17.1799 alpha=90.00 beta=90.00 gamma=90.00
Closest atoms and distances in Å follow each position.
Sites, in units of the cell vectors:
Cd: 0.0000 0.0000 0.0898  4 Ni 2.76, 1 Cd 3.08
Cd: 0.0000 0.0000 0.9102  4 Ni 2.76, 1 Cd 3.08
Cd: 0.5000 0.5000 0.4102  4 Ni 2.76, 1 Cd 3.08
Cd: 0.5000 0.5000 0.5898  4 Ni 2.76, 1 Cd 3.08
Ni: 0.0000 0.0000 0.5000  8 Cd 2.76
Ni: 0.5000 0.5000 0.0000  8 Cd 2.76
P: 0.0000 0.5000 0.2500  4 P 2.29
P: 0.0000 0.5000 0.7500  4 P 2.29
P: 0.5000 0.0000 0.2500  4 P 2.29
P: 0.5000 0.0000 0.7500  4 P 2.29

Entry from Alexandria via LeMat-Bulk: an optimized crystal structure of Mg8Pd5Pt (PBE).

For the density of states at the Fermi level, the calculation gives 4.714 states/eV per cell. As for the formation energy: -551.0 meV/atom. As for the magnetic moment: 0.000 μB/atom. The value obtained for the total energy is -52.48 eV/cell.

Unit cell a=6.8684 b=6.8684 c=6.8684 alpha=110.28 beta=110.28 gamma=107.86
Closest atoms and distances in Å follow each position.
Sites, in units of the cell vectors:
Mg: 0.0021 0.1066 0.7569  1 Pt 2.69, 5 Pd 2.77-3.01, 2 Mg 2.94-3.00
Mg: 0.1955 0.4342 0.5941  5 Pd 2.62-2.88, 1 Pt 2.66
Mg: 0.3496 0.2451 0.2431  1 Pt 2.69, 5 Pd 2.77-3.01, 2 Mg 2.94-3.00
Mg: 0.3987 0.8045 0.2387  5 Pd 2.62-2.88, 1 Pt 2.66
Mg: 0.5658 0.1600 0.7613  5 Pd 2.62-2.88, 1 Pt 2.66
Mg: 0.7549 0.9979 0.1045  1 Pt 2.69, 5 Pd 2.77-3.01, 2 Mg 2.94-3.00
Mg: 0.8400 0.6013 0.4059  5 Pd 2.62-2.88, 1 Pt 2.66
Mg: 0.8934 0.6504 0.8955  1 Pt 2.69, 5 Pd 2.77-3.01, 2 Mg 2.94-3.00
Pd: 0.0449 0.4370 0.1637  8 Mg 2.65-2.88
Pd: 0.1188 0.9551 0.3921  8 Mg 2.65-2.88
Pd: 0.2733 0.8812 0.8363  8 Mg 2.65-2.88
Pd: 0.5000 0.5000 0.0000  4 Mg 2.62
Pd: 0.5630 0.7267 0.6079  8 Mg 2.65-2.88
Pt: 0.7500 0.2500 0.5000  8 Mg 2.66-2.69

Entry from Alexandria via LeMat-Bulk: an optimized crystal structure of K2CoAs (PBE).

For the density of states at the Fermi level, the calculation gives 2.647 states/eV per cell. As for the formation energy: 601.8 meV/atom. As for the magnetic moment: 0.419 μB/atom. The value obtained for the total energy is -11.54 eV/cell.

Unit cell a=3.0651 b=3.0651 c=10.4711 alpha=90.00 beta=90.00 gamma=90.00
Closest atoms and distances in Å follow each position.
Sites, in units of the cell vectors:
K: 0.0000 0.0000 0.2414  4 K 3.07, 4 As 3.33
K: 0.0000 0.0000 0.7586  4 K 3.07, 4 As 3.33
Co: 0.5000 0.5000 0.5000  4 Co 3.07
As: 0.5000 0.5000 0.0000  4 As 3.07, 8 K 3.33

Entry from Alexandria via LeMat-Bulk: an optimized crystal structure of Ti2GeP (PBE).

For the density of states at the Fermi level, the calculation gives 19.264 states/eV per cell. As for the formation energy: -422.9 meV/atom. As for the magnetic moment: 0.000 μB/atom. The value obtained for the total energy is -110.03 eV/cell.

Unit cell a=6.2682 b=6.2682 c=6.2682 alpha=90.00 beta=90.00 gamma=90.00
Closest atoms and distances in Å follow each position.
Sites, in units of the cell vectors:
Ti: 0.2500 0.2500 0.2500  4 Ge 2.71, 4 P 2.71
Ti: 0.2500 0.2500 0.7500  4 Ge 2.71, 4 P 2.71
Ti: 0.2500 0.7500 0.2500  4 Ge 2.71, 4 P 2.71
Ti: 0.2500 0.7500 0.7500  4 Ge 2.71, 4 P 2.71
Ti: 0.7500 0.2500 0.2500  4 Ge 2.71, 4 P 2.71
Ti: 0.7500 0.2500 0.7500  4 Ge 2.71, 4 P 2.71
Ti: 0.7500 0.7500 0.2500  4 Ge 2.71, 4 P 2.71
Ti: 0.7500 0.7500 0.7500  4 Ge 2.71, 4 P 2.71
Ge: 0.0000 0.0000 0.0000  8 Ti 2.71
Ge: 0.0000 0.5000 0.5000  8 Ti 2.71
Ge: 0.5000 0.0000 0.5000  8 Ti 2.71
Ge: 0.5000 0.5000 0.0000  8 Ti 2.71
P: 0.0000 0.0000 0.5000  8 Ti 2.71
P: 0.0000 0.5000 0.0000  8 Ti 2.71
P: 0.5000 0.0000 0.0000  8 Ti 2.71
P: 0.5000 0.5000 0.5000  8 Ti 2.71